This record from the Alexandria database describes a geometry-optimized Ag2WCl structure. The functional is PBE.

Geometry as POSCAR:
```
Ag2WCl
1.0
1.569 -2.444 0.000
1.569 2.444 0.000
0.000 0.000 9.146
Ag W Cl
2 1 1
Direct
0.000 0.000 0.243
0.000 0.000 0.757
0.500 0.500 0.500
0.500 0.500 0.000
```

Summary:
* ΔE to the lowest computed polymorph: 0.059 eV/atom
* ρ: 10.30 g cm⁻³
* formation energy without anion corrections: 0.43 eV per atom
* uncorrected energy: -18.8 eV for the cell shown